(1)
DFT (PBEsol) results for Na2SnO3 after structural relaxation.

Geometry as CIF:
```
data_Na2SnO3
_space_group_name_H-M_alt 'F d d d'
_space_group_IT_number 70
_cell_length_a 6.566
_cell_length_b 9.185
_cell_length_c 19.133
_cell_angle_alpha 90.00
_cell_angle_beta 90.00
_cell_angle_gamma 90.00
loop_
_space_group_symop_operation_xyz
'x,y,z'
'-x,-y,-z'
'-x+1/4,-y+1/4,z'
'x+1/4,y+1/4,-z'
'x,-y+1/4,-z+1/4'
'-x,y+1/4,z+1/4'
'-x+1/4,y,-z+1/4'
'x+1/4,-y,z+1/4'
'x,y+1/2,z+1/2'
'-x,-y+1/2,-z+1/2'
'-x+1/4,-y+3/4,z+1/2'
'x+1/4,y+3/4,-z+1/2'
'x,-y+3/4,-z+3/4'
'-x,y+3/4,z+3/4'
'-x+1/4,y+1/2,-z+3/4'
'x+1/4,-y+1/2,z+3/4'
'x+1/2,y,z+1/2'
'-x+1/2,-y,-z+1/2'
'-x+3/4,-y+1/4,z+1/2'
'x+3/4,y+1/4,-z+1/2'
'x+1/2,-y+1/4,-z+3/4'
'-x+1/2,y+1/4,z+3/4'
'-x+3/4,y,-z+3/4'
'x+3/4,-y,z+3/4'
'x+1/2,y+1/2,z'
'-x+1/2,-y+1/2,-z'
'-x+3/4,-y+3/4,z'
'x+3/4,y+3/4,-z'
'x+1/2,-y+3/4,-z+1/4'
'-x+1/2,y+3/4,z+1/4'
'-x+3/4,y+1/2,-z+1/4'
'x+3/4,-y+1/2,z+1/4'
loop_
_atom_site_label
_atom_site_fract_x
_atom_site_fract_y
_atom_site_fract_z
Na1 0.125 0.125 0.047
Na2 0.125 0.125 0.370
Sn1 0.125 0.125 0.541
O1 0.084 0.375 0.875
O2 0.111 0.355 0.717
```


(2)
DFT (PBEsol) results for NaSnO after structural relaxation.

Geometry as CIF:
```
data_NaSnO
_space_group_name_H-M_alt 'P 4/n m m'
_space_group_IT_number 129
_cell_length_a 4.269
_cell_length_b 4.269
_cell_length_c 6.441
_cell_angle_alpha 90.00
_cell_angle_beta 90.00
_cell_angle_gamma 90.00
loop_
_space_group_symop_operation_xyz
'x,y,z'
'-x,-y,-z'
'-y+1/2,x,z'
'y+1/2,-x,-z'
'-x+1/2,-y+1/2,z'
'x+1/2,y+1/2,-z'
'y,-x+1/2,z'
'-y,x+1/2,-z'
'x+1/2,-y,-z'
'-x+1/2,y,z'
'-y,-x,-z'
'y,x,z'
'-x,y+1/2,-z'
'x,-y+1/2,z'
'y+1/2,x+1/2,-z'
'-y+1/2,-x+1/2,z'
loop_
_atom_site_label
_atom_site_fract_x
_atom_site_fract_y
_atom_site_fract_z
Na1 0.250 0.750 0.000
Sn1 0.250 0.250 0.448
O1 0.250 0.250 0.140
```


(3)
DFT (PBEsol) results for Na4SnO3 after structural relaxation.

Geometry as CIF:
```
data_Na4SnO3
_space_group_name_H-M_alt 'C 1 c 1'
_space_group_IT_number 9
_cell_length_a 5.805
_cell_length_b 16.606
_cell_length_c 5.875
_cell_angle_alpha 90.00
_cell_angle_beta 110.00
_cell_angle_gamma 90.00
loop_
_space_group_symop_operation_xyz
'x,y,z'
'x,-y,z+1/2'
'x+1/2,y+1/2,z'
'x+1/2,-y+1/2,z+1/2'
loop_
_atom_site_label
_atom_site_fract_x
_atom_site_fract_y
_atom_site_fract_z
Na1 0.000 0.034 0.000
Na2 0.017 0.457 0.033
Na3 0.019 0.247 0.004
Na4 0.470 0.358 0.059
Sn1 0.022 0.356 0.504
O1 0.222 0.339 0.282
O2 0.255 0.434 0.741
O3 0.277 0.063 0.792
```


(4)
DFT (PBEsol) results for Na2SnO3 after structural relaxation.

Geometry as CIF:
```
data_Na2SnO3
_space_group_name_H-M_alt 'C 1 2/m 1'
_space_group_IT_number 12
_cell_length_a 5.556
_cell_length_b 9.612
_cell_length_c 5.780
_cell_angle_alpha 90.00
_cell_angle_beta 109.10
_cell_angle_gamma 90.00
loop_
_space_group_symop_operation_xyz
'x,y,z'
'-x,-y,-z'
'-x,y,-z'
'x,-y,z'
'x+1/2,y+1/2,z'
'-x+1/2,-y+1/2,-z'
'-x+1/2,y+1/2,-z'
'x+1/2,-y+1/2,z'
loop_
_atom_site_label
_atom_site_fract_x
_atom_site_fract_y
_atom_site_fract_z
Na1 0.000 0.000 0.000
Na2 0.000 0.158 0.500
Na3 0.000 0.500 0.500
Sn1 0.000 0.333 0.000
O1 0.204 0.500 0.214
O2 0.243 0.316 0.787
```


(5)
DFT (PBEsol) results for Na4Sn3O8 after structural relaxation.

Geometry as CIF:
```
data_Na4Sn3O8
_space_group_name_H-M_alt 'P 41 3 2'
_space_group_IT_number 213
_space_group_name_Hall 'P 4bd 2ab 3'
_cell_length_a 9.241
_cell_length_b 9.241
_cell_length_c 9.241
_cell_angle_alpha 90.00
_cell_angle_beta 90.00
_cell_angle_gamma 90.00
loop_
_atom_site_label
_atom_site_fract_x
_atom_site_fract_y
_atom_site_fract_z
Na1 0.107 0.125 0.857
Na2 0.125 0.625 0.875
Sn1 0.118 0.368 0.125
O1 0.092 0.366 0.904
O2 0.120 0.880 0.380
```


(6)
DFT (PBEsol) results for Na2SnO3 after structural relaxation.

Geometry as CIF:
```
data_Na2SnO3
_space_group_name_H-M_alt 'C 1 2/c 1'
_space_group_IT_number 15
_cell_length_a 5.551
_cell_length_b 9.622
_cell_length_c 11.083
_cell_angle_alpha 90.00
_cell_angle_beta 99.82
_cell_angle_gamma 90.00
loop_
_space_group_symop_operation_xyz
'x,y,z'
'-x,-y,-z'
'-x,y,-z+1/2'
'x,-y,z+1/2'
'x+1/2,y+1/2,z'
'-x+1/2,-y+1/2,-z'
'-x+1/2,y+1/2,-z+1/2'
'x+1/2,-y+1/2,z+1/2'
loop_
_atom_site_label
_atom_site_fract_x
_atom_site_fract_y
_atom_site_fract_z
Na1 0.000 0.085 0.250
Na2 0.237 0.079 0.000
Na3 0.250 0.250 0.500
Sn1 0.000 0.249 0.750
Sn2 0.000 0.418 0.250
O1 0.095 0.415 0.644
O2 0.147 0.099 0.643
O3 0.149 0.269 0.144
```


(7)
DFT (PBEsol) results for Na4Sn5O12 after structural relaxation.

Geometry as CIF:
```
data_Na4Sn5O12
_space_group_name_H-M_alt 'P -1'
_space_group_IT_number 2
_cell_length_a 5.847
_cell_length_b 10.154
_cell_length_c 10.767
_cell_angle_alpha 72.70
_cell_angle_beta 77.07
_cell_angle_gamma 78.52
loop_
_space_group_symop_operation_xyz
'x,y,z'
'-x,-y,-z'
loop_
_atom_site_label
_atom_site_fract_x
_atom_site_fract_y
_atom_site_fract_z
Na1 0.137 0.412 0.402
Na2 0.275 0.902 0.025
Na3 0.305 0.785 0.550
Na4 0.349 0.575 0.111
Sn1 0.117 0.593 0.852
Sn2 0.188 0.256 0.934
Sn3 0.207 0.100 0.686
Sn4 0.246 0.097 0.265
Sn5 0.407 0.422 0.645
O1 0.045 0.265 0.298
O2 0.061 0.944 0.372
O3 0.062 0.429 0.779
O4 0.107 0.100 0.871
O5 0.139 0.734 0.947
O6 0.222 0.422 0.012
O7 0.275 0.568 0.486
O8 0.322 0.270 0.571
O9 0.341 0.101 0.079
O10 0.436 0.578 0.730
O11 0.466 0.946 0.656
O12 0.497 0.731 0.192
```


(8)
DFT (PBEsol) results for Na2SnTeO6 after structural relaxation.

Geometry as CIF:
```
data_Na2SnTeO6
_space_group_name_H-M_alt 'P 1 21/c 1'
_space_group_IT_number 14
_cell_length_a 5.433
_cell_length_b 5.503
_cell_length_c 9.456
_cell_angle_alpha 90.00
_cell_angle_beta 125.08
_cell_angle_gamma 90.00
loop_
_space_group_symop_operation_xyz
'x,y,z'
'-x,-y,-z'
'-x,y+1/2,-z+1/2'
'x,-y+1/2,z+1/2'
loop_
_atom_site_label
_atom_site_fract_x
_atom_site_fract_y
_atom_site_fract_z
Na1 0.242 0.041 0.250
Sn1 0.500 0.000 0.000
Te1 0.000 0.000 0.500
O1 0.143 0.212 0.951
O2 0.244 0.696 0.954
O3 0.333 0.027 0.741
```


(9)
DFT (PBEsol) results for NaSr2Ta3O9 after structural relaxation.

Geometry as CIF:
```
data_NaSr2Ta3O9
_space_group_name_H-M_alt 'P -3 m 1'
_space_group_IT_number 164
_space_group_name_Hall '-P 3 2"'
_cell_length_a 5.6546
_cell_length_b 5.6546
_cell_length_c 6.9257
_cell_angle_alpha 90.00
_cell_angle_beta 90.00
_cell_angle_gamma 120.00
loop_
_atom_site_label
_atom_site_fract_x
_atom_site_fract_y
_atom_site_fract_z
Na1 0.0000 0.0000 0.0000
Sr1 0.3333 0.6667 0.6725
Ta1 0.0000 0.0000 0.5000
Ta2 0.3333 0.6667 0.1649
O1 0.0000 0.5000 0.0000
O2 0.1684 0.3367 0.3367
```


(10)
DFT (PBEsol) results for Na4SrTa5O15 after structural relaxation.

Geometry as CIF:
```
data_Na4SrTa5O15
_space_group_name_H-M_alt 'P -1'
_space_group_IT_number 2
_cell_length_a 6.817
_cell_length_b 8.778
_cell_length_c 11.154
_cell_angle_alpha 108.79
_cell_angle_beta 90.63
_cell_angle_gamma 104.39
loop_
_space_group_symop_operation_xyz
'x,y,z'
'-x,-y,-z'
loop_
_atom_site_label
_atom_site_fract_x
_atom_site_fract_y
_atom_site_fract_z
Na1 0.000 0.000 0.000
Na2 0.000 0.000 0.500
Na3 0.197 0.603 0.399
Na4 0.199 0.599 0.901
Na5 0.401 0.206 0.802
Sr1 0.399 0.199 0.300
Ta1 0.098 0.798 0.199
Ta2 0.100 0.800 0.700
Ta3 0.297 0.399 0.602
Ta4 0.300 0.400 0.097
Ta5 0.500 0.000 0.000
Ta6 0.500 0.000 0.500
O1 0.029 0.015 0.280
O2 0.092 0.301 0.697
O3 0.093 0.337 0.454
O4 0.101 0.289 0.195
O5 0.123 0.267 0.938
O6 0.167 0.583 0.124
O7 0.232 0.616 0.679
O8 0.287 0.908 0.097
O9 0.297 0.938 0.851
O10 0.298 0.883 0.590
O11 0.328 0.876 0.335
O12 0.360 0.180 0.527
O13 0.442 0.220 0.074
O14 0.480 0.530 0.259
O15 0.500 0.500 0.000
O16 0.500 0.500 0.500
```


(11)
DFT (PBEsol) results for Na2SrV4O12 after structural relaxation.

Geometry as CIF:
```
data_Na2SrV4O12
_space_group_name_H-M_alt 'P 4/n b m'
_space_group_IT_number 125
_cell_length_a 10.547
_cell_length_b 10.547
_cell_length_c 4.980
_cell_angle_alpha 90.00
_cell_angle_beta 90.00
_cell_angle_gamma 90.00
loop_
_space_group_symop_operation_xyz
'x,y,z'
'-x,-y,-z'
'-y+1/2,x,z'
'y+1/2,-x,-z'
'-x+1/2,-y+1/2,z'
'x+1/2,y+1/2,-z'
'y,-x+1/2,z'
'-y,x+1/2,-z'
'x,-y+1/2,-z'
'-x,y+1/2,z'
'-y+1/2,-x+1/2,-z'
'y+1/2,x+1/2,z'
'-x+1/2,y,-z'
'x+1/2,-y,z'
'y,x,-z'
'-y,-x,z'
loop_
_atom_site_label
_atom_site_fract_x
_atom_site_fract_y
_atom_site_fract_z
Na1 0.000 0.000 0.000
Sr1 0.250 0.250 0.000
V1 0.033 0.750 0.500
O1 0.054 0.182 0.264
O2 0.132 0.632 0.653
```


| no. | ΔE_f (raw) (meV/atom) |
| --- | --- |
| 1 | -1748.9 |
| 2 | -1106.3 |
| 3 | -1392.3 |
| 4 | -1752.1 |
| 5 | -1720.1 |
| 6 | -1752.2 |
| 7 | -1646.6 |
| 8 | -1491.3 |
| 9 | -2863.1 |
| 10 | -2735.0 |
| 11 | -2448.6 |